Arrangement one

# BaTcSn2

An optimized crystal structure of BaTcSn2 (PBE, Alexandria).

Cell: 7.3709 7.3709 7.3709 Å, 90.00 90.00 90.00°
Fractional positions:
Ba: 0.0000 0.0000 0.0000
Ba: 0.0000 0.5000 0.5000
Ba: 0.5000 0.0000 0.5000
Ba: 0.5000 0.5000 0.0000
Tc: 0.0000 0.0000 0.5000
Tc: 0.0000 0.5000 0.0000
Tc: 0.5000 0.0000 0.0000
Tc: 0.5000 0.5000 0.5000
Sn: 0.2500 0.2500 0.2500
Sn: 0.2500 0.2500 0.7500
Sn: 0.2500 0.7500 0.2500
Sn: 0.2500 0.7500 0.7500
Sn: 0.7500 0.2500 0.2500
Sn: 0.7500 0.2500 0.7500
Sn: 0.7500 0.7500 0.2500
Sn: 0.7500 0.7500 0.7500

The symmetry is Fm-3m (225). Its density of states at the Fermi level is 17.11 states/eV per cell.

---

Arrangement two

# BaTcSn2

An optimized crystal structure of BaTcSn2 (PBE, Alexandria).

Cell: 5.9890 5.9890 16.6050 Å, 90.00 90.00 90.00°
Fractional positions:
Ba: 0.0000 0.2500 0.3750
Ba: 0.0000 0.7500 0.6250
Ba: 0.5000 0.2500 0.1250
Ba: 0.5000 0.7500 0.8750
Tc: 0.0000 0.2500 0.8750
Tc: 0.0000 0.7500 0.1250
Tc: 0.5000 0.2500 0.6250
Tc: 0.5000 0.7500 0.3750
Sn: 0.0000 0.0000 0.0000
Sn: 0.0000 0.5000 0.0000
Sn: 0.2500 0.2500 0.7500
Sn: 0.2500 0.7500 0.2500
Sn: 0.5000 0.0000 0.5000
Sn: 0.5000 0.5000 0.5000
Sn: 0.7500 0.2500 0.7500
Sn: 0.7500 0.7500 0.2500

The symmetry is I4_1/amd (141). Its density of states at the Fermi level is 20.73 states/eV per cell.

---

Calculated relative energies: arrangement one 238; arrangement two 0, given in meV per atom

---

Arrangement one

# BaYTc2Sn

An optimized crystal structure of BaYTc2Sn (PBE, Alexandria).

Cell: 5.0453 5.0453 5.9370 Å, 90.00 90.00 90.00°
Fractional positions:
Ba: 0.0000 0.0000 0.0000
Y: 0.5000 0.5000 0.5000
Tc: 0.0000 0.5000 0.0000
Tc: 0.5000 0.0000 0.0000
Sn: 0.0000 0.0000 0.5000

The symmetry is P4/mmm (123). Its density of states at the Fermi level is 7.25 states/eV per cell.

---

Arrangement two

# BaYTc2Sn

An optimized crystal structure of BaYTc2Sn (PBE, Alexandria).

Cell: 4.9988 4.9988 5.5663 Å, 90.00 90.00 90.00°
Fractional positions:
Ba: 0.0000 0.0000 0.0000
Y: 0.0000 0.0000 0.5000
Tc: 0.0000 0.5000 0.0000
Tc: 0.5000 0.0000 0.0000
Sn: 0.5000 0.5000 0.5000

The symmetry is P4/mmm (123). Its density of states at the Fermi level is 8.57 states/eV per cell.

---

Calculated relative energies: arrangement one 0; arrangement two 40, given in meV per atom

---

Arrangement one

# BaSn3Te

An optimized crystal structure of BaSn3Te (PBE, Alexandria).

Cell: 6.2590 6.2590 6.2590 Å, 90.00 90.00 90.00°
Fractional positions:
Ba: 0.0000 0.0000 0.0000
Sn: 0.0000 0.0000 0.5000
Sn: 0.0000 0.5000 0.0000
Sn: 0.5000 0.0000 0.0000
Te: 0.5000 0.5000 0.5000

The symmetry is Pm-3m (221). Its density of states at the Fermi level is 11.54 states/eV per cell.

---

Arrangement two

# BaSn3Te

An optimized crystal structure of BaSn3Te (PBE, Alexandria).

Cell: 5.9000 5.9000 5.9000 Å, 90.00 90.00 90.00°
Fractional positions:
Ba: 0.0000 0.0000 0.0000
Sn: 0.0000 0.5000 0.5000
Sn: 0.5000 0.0000 0.5000
Sn: 0.5000 0.5000 0.0000
Te: 0.5000 0.5000 0.5000

The symmetry is Pm-3m (221). Its density of states at the Fermi level is 2.36 states/eV per cell.

---

Calculated relative energies: arrangement one 946; arrangement two 0, given in meV per atom

---

Arrangement one

# Ba2SnTe4

An optimized crystal structure of Ba2SnTe4 (PBE, Alexandria).

Cell: 8.0203 7.8859 9.5817 Å, 90.00 107.62 90.00°
Fractional positions:
Ba: 0.2403 0.2500 0.0584
Ba: 0.2398 0.2500 0.5624
Ba: 0.7602 0.7500 0.4376
Ba: 0.7597 0.7500 0.9416
Sn: 0.2276 0.7500 0.3064
Sn: 0.7724 0.2500 0.6936
Te: 0.0095 0.5160 0.7550
Te: 0.0095 0.9840 0.7550
Te: 0.4097 0.7500 0.1027
Te: 0.4146 0.7500 0.6011
Te: 0.5854 0.2500 0.3989
Te: 0.5903 0.2500 0.8973
Te: 0.9905 0.0160 0.2450
Te: 0.9905 0.4840 0.2450

The symmetry is P2_1/m (11).

---

Arrangement two

# Ba2SnTe4

An optimized crystal structure of Ba2SnTe4 (PBE, Alexandria).

Cell: 5.7573 5.7573 17.4791 Å, 90.00 90.00 90.00°
Fractional positions:
Ba: 0.0000 0.0000 0.1342
Ba: 0.0000 0.0000 0.8658
Ba: 0.5000 0.5000 0.3658
Ba: 0.5000 0.5000 0.6342
Sn: 0.0000 0.0000 0.5000
Sn: 0.5000 0.5000 0.0000
Te: 0.0000 0.0000 0.3291
Te: 0.0000 0.0000 0.6709
Te: 0.0000 0.5000 0.0000
Te: 0.0000 0.5000 0.5000
Te: 0.5000 0.0000 0.0000
Te: 0.5000 0.0000 0.5000
Te: 0.5000 0.5000 0.1709
Te: 0.5000 0.5000 0.8291

The symmetry is I4/mmm (139). Its density of states at the Fermi level is 15.20 states/eV per cell.

---

Calculated relative energies: arrangement one 0; arrangement two 170, given in meV per atom

---

Arrangement one

# Ba4SnTe5

An optimized crystal structure of Ba4SnTe5 (PBE, Alexandria).

Cell: 8.5541 8.5541 8.5541 Å, 99.77 99.77 131.36°
Fractional positions:
Ba: 0.0985 0.7001 0.7986
Ba: 0.2999 0.0985 0.3984
Ba: 0.7001 0.9015 0.6016
Ba: 0.9015 0.2999 0.2014
Sn: 0.4665 0.4665 0.0000
Te: 0.0426 0.0426 0.0000
Te: 0.2098 0.4022 0.6148
Te: 0.4022 0.7874 0.1924
Te: 0.5950 0.2098 0.8076
Te: 0.7874 0.5950 0.3852

The symmetry is I4 (79). Its density of states at the Fermi level is 0.00 states/eV per cell.

---

Arrangement two

# Ba4SnTe5

An optimized crystal structure of Ba4SnTe5 (PBE, Alexandria).

Cell: 17.7833 17.7833 17.7833 Å, 164.05 164.05 22.63°
Fractional positions:
Ba: 0.0976 0.0976 0.0000
Ba: 0.3014 0.3014 0.0000
Ba: 0.6986 0.6986 0.0000
Ba: 0.9024 0.9024 0.0000
Sn: 0.5000 0.5000 0.0000
Te: 0.0000 0.0000 0.0000
Te: 0.1997 0.1997 0.0000
Te: 0.4049 0.4049 0.0000
Te: 0.5951 0.5951 0.0000
Te: 0.8003 0.8003 0.0000

The symmetry is I4/mmm (139).

---

Calculated relative energies: arrangement one 0; arrangement two 13, given in meV per atom

---

Arrangement one

# BaTiSn3

An optimized crystal structure of BaTiSn3 (PBE, Alexandria).

Cell: 5.9749 5.9749 5.9749 Å, 90.00 90.00 90.00°
Fractional positions:
Ba: 0.0000 0.0000 0.0000
Ti: 0.5000 0.5000 0.5000
Sn: 0.0000 0.0000 0.5000
Sn: 0.0000 0.5000 0.0000
Sn: 0.5000 0.0000 0.0000

The symmetry is Pm-3m (221). Its density of states at the Fermi level is 16.92 states/eV per cell.

---

Arrangement two

# BaTiSn3

An optimized crystal structure of BaTiSn3 (PBE, Alexandria).

Cell: 5.3604 5.3604 5.3604 Å, 90.00 90.00 90.00°
Fractional positions:
Ba: 0.0000 0.0000 0.0000
Ti: 0.5000 0.5000 0.5000
Sn: 0.0000 0.5000 0.5000
Sn: 0.5000 0.0000 0.5000
Sn: 0.5000 0.5000 0.0000

The symmetry is Pm-3m (221). Its density of states at the Fermi level is 2.75 states/eV per cell.

---

Calculated relative energies: arrangement one 1863; arrangement two 0, given in meV per atom